Below is a geometry-optimized NdScNi2 structure, with properties calculated at the GGA-PBE level.

Lattice parameters (Å, degrees): 3.2907 3.2907 6.8117 90.00 90.00 90.00
Space group P4/mmm (No. 123)
Inequivalent atoms, fractional coordinates:
Nd (0.0000, 0.0000, 0.0000) (multiplicity 1)
Sc (0.0000, 0.0000, 0.5000) (multiplicity 1)
Ni (0.5000, 0.5000, 0.2912) (multiplicity 2)

ΔE to the lowest computed polymorph = 3 meV per atom
DOS(E_F) = 3.94 states/eV/cell
total magnetization = 0.000 μB per atom
final energy = -0.441 Ry/atom
energy of formation = -0.33 eV per atom